Si2CF: optimized geometry, PBE.

CIF file:
```
data_Si2CF
_cell_length_a 5.1656
_cell_length_b 5.1656
_cell_length_c 8.1480
_cell_angle_alpha 90.00
_cell_angle_beta 90.00
_cell_angle_gamma 90.00
_space_group_name_H-M_alt 'I -4 2 d'
_space_group_IT_number 122
_space_group_name_Hall 'I -4 2bw'
loop_
_atom_site_label
_atom_site_type_symbol
_atom_site_fract_x
_atom_site_fract_y
_atom_site_fract_z
Si1 Si 0.1908 0.2500 0.1250
C1 C 0.0000 0.0000 0.0000
F1 F 0.0000 0.0000 0.5000
```

**E_form (uncorrected)**: 5.3 kcal/mol of atoms
**DFT total energy**: -5.2535 eV per atom